1.
Rb2PbCl8: optimized geometry, GGA-PBE.

## Properties
Energy relative to the elements, uncorrected, eV per atom: -1.042

abc: 8.627 7.775 7.775
angles: 57.66 65.53 65.53
Fractional positions:
Rb1 0.754 0.747 0.747
Rb2 0.246 0.253 0.253
Cl1 0.896 0.672 0.151
Cl2 0.553 0.415 0.415
Cl3 0.104 0.849 0.328
Cl4 0.896 0.151 0.672
Cl5 0.447 0.585 0.585
Cl6 0.104 0.328 0.849
Cl7 0.316 0.825 0.825
Cl8 0.684 0.175 0.175
Pb1 0.000 0.000 0.000



2.
RbPbCl3: optimized geometry, GGA-PBE.

## Properties
Energy relative to the elements, uncorrected, eV per atom: -1.310

abc: 4.818 4.818 8.164
angles: 90.00 90.00 90.00
Fractional positions:
Rb1 0.000 0.000 0.136
Cl1 0.500 0.000 0.394
Cl2 0.000 0.000 0.756
Cl3 0.000 0.500 0.394
Pb1 0.500 0.500 0.583



3.
Rb5PbCl8: optimized geometry, GGA-PBE.

## Properties
Energy relative to the elements, uncorrected, eV per atom: -1.581

abc: 8.418 8.418 8.418
angles: 109.65 109.12 109.65
Fractional positions:
Rb1 0.747 0.638 0.625
Rb2 0.375 0.122 0.013
Rb3 0.500 0.000 0.500
Rb4 0.891 0.878 0.253
Rb5 0.987 0.362 0.109
Cl1 0.000 0.127 0.721
Cl2 0.124 0.717 0.530
Cl3 0.814 0.283 0.407
Cl4 0.279 0.279 0.406
Cl5 0.470 0.594 0.186
Cl6 0.594 0.873 0.873
Cl7 0.127 0.721 0.000
Cl8 0.593 0.406 0.876
Pb1 0.250 0.500 0.750



4.
RbPbCl3: optimized geometry, GGA-PBE.

## Properties
Energy relative to the elements, uncorrected, eV per atom: -1.490

abc: 4.299 9.184 9.176
angles: 110.11 89.97 90.03
Fractional positions:
Cl1 0.306 0.141 0.754
Cl2 0.306 0.476 0.420
Cl3 0.807 0.495 0.020
Cl4 0.806 0.123 0.154
Cl5 0.806 0.875 0.400
Cl6 0.805 0.742 0.773
Pb1 0.307 0.309 0.087
Pb2 0.306 0.808 0.587
Rb1 0.806 0.308 0.587
Rb2 0.306 0.809 0.087



5.
RbPbCl3: optimized geometry, GGA-PBE.

## Properties
Energy relative to the elements, uncorrected, eV per atom: -1.468

abc: 16.370 9.087 9.087
angles: 103.67 133.34 46.66
Fractional positions:
Cl1 0.595 0.864 0.273
Cl2 0.405 0.417 0.446
Cl3 0.698 0.366 0.262
Cl4 0.405 0.136 0.727
Cl5 0.905 0.773 0.364
Cl6 0.095 0.227 0.636
Cl7 0.302 0.634 0.738
Cl8 0.095 0.946 0.917
Cl9 0.905 0.054 0.083
Cl10 0.198 0.238 0.134
Cl11 0.595 0.583 0.554
Cl12 0.802 0.762 0.866
Rb1 0.750 0.077 0.577
Rb2 0.250 0.423 0.923
Rb3 0.250 0.923 0.423
Rb4 0.750 0.577 0.077
Pb1 0.634 0.156 0.923
Pb2 0.134 0.577 0.344
Pb3 0.366 0.844 0.077
Pb4 0.866 0.423 0.656



6.
RbPb2Cl7: optimized geometry, GGA-PBE.

## Properties
Energy relative to the elements, uncorrected, eV per atom: -0.997

abc: 5.405 8.143 8.143
angles: 114.11 90.00 90.00
Fractional positions:
Cl1 0.500 0.319 0.054
Cl2 0.000 0.707 0.293
Cl3 0.000 0.293 0.707
Cl4 0.500 0.054 0.319
Cl5 0.500 0.946 0.681
Cl6 0.500 0.681 0.946
Cl7 0.500 0.500 0.500
Rb1 0.000 0.000 0.000
Pb1 0.500 0.294 0.706
Pb2 0.500 0.706 0.294



7.
RbPb2Cl4: optimized geometry, GGA-PBE.

## Properties
Energy relative to the elements, uncorrected, eV per atom: -1.198

abc: 7.226 9.195 8.938
angles: 112.79 104.06 108.29
Fractional positions:
Cl1 0.391 0.075 0.343
Cl2 0.811 0.016 0.625
Cl3 0.408 0.130 0.878
Cl4 0.324 0.538 0.162
Cl5 0.814 0.609 0.625
Cl6 0.953 0.270 0.343
Cl7 0.470 0.747 0.877
Cl8 0.838 0.624 0.162
Pb1 0.591 0.350 0.737
Pb2 0.619 0.378 0.256
Pb3 0.637 0.876 0.255
Pb4 0.145 0.386 0.737
Rb1 0.262 0.762 0.524
Rb2 0.987 0.988 0.975



8.
RbPbCl3: optimized geometry, GGA-PBE.

## Properties
Energy relative to the elements, uncorrected, eV per atom: -1.439

abc: 10.317 10.317 10.317
angles: 60.00 60.00 60.00
Fractional positions:
Pb1 0.625 0.625 0.125
Pb2 0.625 0.625 0.625
Pb3 0.125 0.625 0.625
Pb4 0.625 0.125 0.625
Rb1 0.625 0.125 0.125
Rb2 0.125 0.625 0.125
Rb3 0.125 0.125 0.625
Rb4 0.125 0.125 0.125
Cl1 0.719 0.281 0.281
Cl2 0.969 0.969 0.531
Cl3 0.531 0.969 0.969
Cl4 0.719 0.719 0.281
Cl5 0.281 0.719 0.281
Cl6 0.719 0.281 0.719
Cl7 0.281 0.281 0.719
Cl8 0.531 0.531 0.969
Cl9 0.531 0.969 0.531
Cl10 0.281 0.719 0.719
Cl11 0.969 0.531 0.531
Cl12 0.969 0.531 0.969



9.
RbPbCl3: optimized geometry, GGA-PBE.

## Properties
Energy relative to the elements, uncorrected, eV per atom: -1.491

abc: 9.813 7.441 4.481
angles: 90.00 90.00 90.01
Fractional positions:
Cl1 0.151 0.104 0.316
Cl2 0.708 0.334 0.316
Cl3 0.905 0.834 0.816
Cl4 0.157 0.585 0.316
Cl5 0.456 0.085 0.816
Cl6 0.462 0.603 0.816
Rb1 0.946 0.349 0.816
Rb2 0.667 0.850 0.316
Pb1 0.427 0.345 0.316
Pb2 0.186 0.845 0.816



10.
RbPbCl3: optimized geometry, GGA-PBE.

## Properties
Energy relative to the elements, uncorrected, eV per atom: -0.653

abc: 5.791 5.791 5.791
angles: 90.00 90.00 90.00
Fractional positions:
Cl1 0.000 0.000 0.500
Cl2 0.000 0.500 0.000
Cl3 0.500 0.000 0.000
Rb1 0.000 0.000 0.000
Pb1 0.500 0.500 0.500



11.
RbPbCl: optimized geometry, GGA-PBE.

## Properties
Energy relative to the elements, uncorrected, eV per atom: -1.077

abc: 4.488 4.488 11.224
angles: 90.00 90.00 90.00
Fractional positions:
Rb1 0.000 0.500 0.344
Rb2 0.500 0.000 0.656
Cl1 0.500 0.000 0.355
Cl2 0.000 0.500 0.645
Pb1 0.500 0.000 0.050
Pb2 0.000 0.500 0.950



12.
RbPbCl3: optimized geometry, GGA-PBE.

## Properties
Energy relative to the elements, uncorrected, eV per atom: -1.400

abc: 5.360 5.360 11.869
angles: 90.00 90.00 120.00
Fractional positions:
Pb1 0.000 0.000 0.500
Pb2 0.000 0.000 0.000
Rb1 0.333 0.667 0.750
Rb2 0.667 0.333 0.250
Cl1 0.000 0.000 0.250
Cl2 0.667 0.333 0.558
Cl3 0.333 0.667 0.058
Cl4 0.000 0.000 0.750
Cl5 0.333 0.667 0.442
Cl6 0.667 0.333 0.942



13.
RbPbCl3: optimized geometry, GGA-PBE.

## Properties
Energy relative to the elements, uncorrected, eV per atom: -1.472

abc: 25.872 7.439 10.121
angles: 90.00 158.79 90.00
Fractional positions:
Cl1 0.563 0.811 0.065
Cl2 0.284 0.507 0.832
Cl3 0.063 0.689 0.565
Cl4 0.877 0.300 0.878
Cl5 0.216 0.007 0.668
Cl6 0.937 0.311 0.435
Cl7 0.623 0.800 0.622
Cl8 0.716 0.493 0.168
Cl9 0.123 0.700 0.122
Cl10 0.437 0.189 0.935
Cl11 0.784 0.993 0.332
Cl12 0.377 0.200 0.378
Rb1 0.418 0.754 0.413
Rb2 0.082 0.254 0.087
Rb3 0.582 0.246 0.587
Rb4 0.918 0.746 0.913
Pb1 0.386 0.823 0.886
Pb2 0.114 0.323 0.614
Pb3 0.886 0.677 0.386
Pb4 0.614 0.177 0.114



14.
RbPbCl3: optimized geometry, GGA-PBE.

## Properties
Energy relative to the elements, uncorrected, eV per atom: -1.484

abc: 4.387 8.709 9.530
angles: 91.21 90.00 104.59
Fractional positions:
Cl1 0.046 0.091 0.666
Cl2 0.954 0.908 0.334
Cl3 0.353 0.705 0.959
Cl4 0.743 0.487 0.672
Cl5 0.647 0.295 0.041
Cl6 0.257 0.513 0.328
Rb1 0.395 0.789 0.603
Rb2 0.605 0.211 0.397
Pb1 0.822 0.644 0.159
Pb2 0.178 0.356 0.841



15.
RbPbCl4: optimized geometry, GGA-PBE.

## Properties
Energy relative to the elements, uncorrected, eV per atom: -1.097

abc: 4.908 4.908 8.039
angles: 89.95 89.97 89.92
Fractional positions:
Cl1 0.002 0.497 0.713
Cl2 0.501 0.998 0.713
Cl3 0.001 0.497 0.284
Cl4 0.501 0.997 0.284
Rb1 0.501 0.497 0.998
Pb1 0.001 0.998 0.498



16.
RbPbCl3: optimized geometry, GGA-PBE.

## Properties
Energy relative to the elements, uncorrected, eV per atom: -1.469

abc: 25.579 7.649 9.065
angles: 90.00 156.38 90.00
Fractional positions:
Rb1 0.161 0.218 0.834
Rb2 0.661 0.282 0.334
Rb3 0.339 0.718 0.666
Rb4 0.839 0.782 0.166
Pb1 0.519 0.768 0.641
Pb2 0.019 0.732 0.141
Pb3 0.981 0.268 0.859
Pb4 0.481 0.232 0.359
Cl1 0.577 0.519 0.471
Cl2 0.209 0.391 0.594
Cl3 0.923 0.019 0.029
Cl4 0.709 0.109 0.094
Cl5 0.791 0.609 0.406
Cl6 0.423 0.481 0.529
Cl7 0.291 0.891 0.906
Cl8 0.564 0.027 0.355
Cl9 0.077 0.981 0.971
Cl10 0.436 0.973 0.645
Cl11 0.064 0.473 0.855
Cl12 0.936 0.527 0.145



17.
Rb3PbCl7: optimized geometry, GGA-PBE.

## Properties
Energy relative to the elements, uncorrected, eV per atom: -1.366

abc: 7.152 7.152 8.229
angles: 78.46 78.46 92.38
Fractional positions:
Rb1 0.750 0.205 0.484
Rb2 0.205 0.750 0.484
Rb3 0.500 0.500 0.939
Cl1 0.158 0.158 0.192
Cl2 0.044 0.674 0.145
Cl3 0.344 0.992 0.789
Cl4 0.853 0.853 0.772
Cl5 0.594 0.594 0.539
Cl6 0.992 0.344 0.789
Cl7 0.674 0.044 0.145
Pb1 0.010 0.010 0.974



18.
RbPbCl3: optimized geometry, GGA-PBE.

## Properties
Energy relative to the elements, uncorrected, eV per atom: -1.502

abc: 7.516 7.516 10.745
angles: 90.00 90.00 146.56
Fractional positions:
Pb1 0.000 0.000 0.500
Pb2 0.000 0.000 0.000
Cl1 0.926 0.074 0.250
Cl2 0.367 0.633 0.945
Cl3 0.633 0.367 0.055
Cl4 0.633 0.367 0.445
Cl5 0.074 0.926 0.750
Cl6 0.367 0.633 0.555
Rb1 0.746 0.254 0.750
Rb2 0.254 0.746 0.250



19.
Rb2RePbCl6: optimized geometry, GGA-PBE.

## Properties
Energy relative to the elements, uncorrected, eV per atom: -0.997

abc: 7.489 7.489 7.488
angles: 59.99 59.99 90.00
Fractional positions:
Cl1 0.729 0.729 0.000
Cl2 0.271 0.729 0.000
Cl3 0.270 0.270 0.459
Cl4 0.730 0.730 0.541
Cl5 0.729 0.271 0.000
Cl6 0.271 0.271 0.000
Rb1 0.750 0.250 0.500
Rb2 0.250 0.750 0.500
Re1 0.500 0.500 0.000
Pb1 0.000 0.000 0.000



20.
RbRhPbCl6: optimized geometry, GGA-PBE.

## Properties
Energy relative to the elements, uncorrected, eV per atom: -1.088

abc: 7.036 7.036 6.983
angles: 90.00 90.00 60.00
Fractional positions:
Cl1 0.057 0.603 0.701
Cl2 0.339 0.603 0.299
Cl3 0.603 0.339 0.701
Cl4 0.057 0.339 0.299
Cl5 0.603 0.057 0.299
Cl6 0.339 0.057 0.701
Pb1 0.667 0.667 0.500
Rh1 0.333 0.333 0.500
Rb1 0.000 0.000 0.000